# 1
TiAlFeRe | PBE-GGA | optimized geometry

Cell lengths 4.289, 4.289, 4.289 Å; angles 60.00, 60.00, 60.00 degrees
Positions (direct):
Fe 0.500 0.500 0.500
Al 0.750 0.750 0.750
Ti 0.250 0.250 0.250
Re 0.000 0.000 0.000

Results
- Space-group type: F-43m
- Crystal system: cubic
- Raw total energy: -33.6 eV for the cell shown

***

# 2
Ti5Al2FeRe2 | PBE-GGA | optimized geometry

Cell lengths 3.133, 10.306, 10.306 Å; angles 90.00, 90.00, 90.00 degrees
Positions (direct):
Ti 0.500 0.426 0.318
Ti 0.500 0.818 0.926
Ti 0.500 0.574 0.682
Ti 0.500 0.000 0.500
Ti 0.500 0.682 0.426
Ti 0.500 0.500 0.000
Ti 0.500 0.926 0.182
Ti 0.500 0.318 0.574
Ti 0.500 0.074 0.818
Ti 0.500 0.182 0.074
Re 0.000 0.362 0.138
Re 0.000 0.862 0.362
Re 0.000 0.138 0.638
Re 0.000 0.638 0.862
Al 0.000 0.669 0.169
Al 0.000 0.169 0.331
Al 0.000 0.831 0.669
Al 0.000 0.331 0.831
Fe 0.000 0.000 0.000
Fe 0.000 0.500 0.500

Results
- Space-group type: P4/mbm
- Crystal system: tetragonal
- Raw total energy: -161.2 eV for the cell shown

***

# 3
Ti5Al2Fe2Re | PBE-GGA | optimized geometry

Cell lengths 3.084, 10.057, 10.057 Å; angles 90.00, 90.00, 90.00 degrees
Positions (direct):
Al 0.000 0.174 0.326
Al 0.000 0.326 0.826
Al 0.000 0.674 0.174
Al 0.000 0.826 0.674
Re 0.000 0.500 0.500
Re 0.000 0.000 0.000
Ti 0.500 0.069 0.800
Ti 0.500 0.931 0.200
Ti 0.500 0.431 0.300
Ti 0.500 0.700 0.431
Ti 0.500 0.000 0.500
Ti 0.500 0.300 0.569
Ti 0.500 0.200 0.069
Ti 0.500 0.800 0.931
Ti 0.500 0.569 0.700
Ti 0.500 0.500 0.000
Fe 0.000 0.129 0.629
Fe 0.000 0.871 0.371
Fe 0.000 0.629 0.871
Fe 0.000 0.371 0.129

Results
- Space-group type: P4/mbm
- Crystal system: tetragonal
- Raw total energy: -156.7 eV for the cell shown

***

# 4
UAlFeRe | PBE-GGA | optimized geometry

Cell lengths 4.504, 4.504, 4.504 Å; angles 60.00, 60.00, 60.00 degrees
Positions (direct):
U 0.500 0.500 0.500
Al 0.000 0.000 0.000
Re 0.750 0.750 0.750
Fe 0.250 0.250 0.250

Results
- Space-group type: F-43m
- Crystal system: cubic
- Raw total energy: -35.9 eV for the cell shown

***

# 5
AlFeReW2 | PBE-GGA | optimized geometry

Cell lengths 4.519, 4.019, 4.519 Å; angles 90.00, 90.00, 90.00 degrees
Positions (direct):
Fe 0.000 0.500 0.000
W 0.500 0.000 0.000
W 0.000 0.000 0.500
Re 0.500 0.500 0.500
Al 0.000 0.000 0.000

Results
- Space-group type: P4/mmm
- Crystal system: tetragonal
- Raw total energy: -42.2 eV for the cell shown

***

# 6
AlFe2Rh | PBE-GGA | optimized geometry

Cell lengths 5.027, 5.027, 2.705 Å; angles 77.56, 77.56, 120.80 degrees
Positions (direct):
Rh 0.500 0.000 0.500
Al 0.000 0.500 0.500
Fe 0.500 0.500 0.000
Fe 0.000 0.000 0.000

Results
- Space-group type: C2/m
- Crystal system: monoclinic
- Raw total energy: -28.9 eV for the cell shown

***

# 7
Al4FeRh | PBE-GGA | optimized geometry

Cell lengths 4.987, 4.987, 4.987 Å; angles 60.00, 60.00, 60.00 degrees
Positions (direct):
Rh 0.000 0.000 0.000
Al 0.375 0.375 0.375
Al 0.375 0.875 0.375
Al 0.375 0.375 0.875
Al 0.875 0.375 0.375
Fe 0.750 0.750 0.750

Results
- Space-group type: F-43m
- E above lowest polymorph: 402.4 meV per atom
- Crystal system: cubic

***

# 8
Al8FeRh2 | PBE-GGA | optimized geometry

Cell lengths 4.061, 7.433, 6.849 Å; angles 122.86, 107.24, 90.00 degrees
Positions (direct):
Fe 0.500 0.000 0.000
Al 0.657 0.436 0.314
Al 0.000 0.318 0.000
Al 0.343 0.564 0.686
Al 0.135 0.135 0.270
Al 0.865 0.865 0.730
Al 0.343 0.122 0.686
Al 0.000 0.682 0.000
Al 0.657 0.878 0.314
Rh 0.797 0.297 0.595
Rh 0.203 0.703 0.405

Results
- Space-group type: Immm
- Crystal system: orthorhombic
- Raw total energy: -58.9 eV for the cell shown